No. 1
The following is a PBE calculation of a relaxed Zr2Cd3Hg3 crystal, from OQMD via LeMat-Bulk.

Cell: 4.5147 4.5654 8.4061 Å, 90.00 90.00 90.00°
Closest atoms and distances in Å follow each position.
Fractional coordinates of all 8 atoms:
Zr 0.0000 0.0000 0.2480  6 Hg 3.07-3.10, 6 Cd 3.11-3.21
Zr 0.0000 0.0000 0.7520  6 Hg 3.07-3.10, 6 Cd 3.11-3.21
Cd 0.0000 0.5000 0.5000  4 Cd 3.07, 4 Zr 3.11, 4 Hg 3.21
Cd 0.5000 0.5000 0.2527  2 Cd 3.07, 6 Hg 3.09-3.12, 4 Zr 3.21
Cd 0.5000 0.5000 0.7473  2 Cd 3.07, 6 Hg 3.09-3.12, 4 Zr 3.21
Hg 0.0000 0.5000 0.0000  4 Zr 3.09, 4 Cd 3.10, 4 Hg 3.21
Hg 0.5000 0.0000 0.0000  4 Zr 3.07, 4 Cd 3.12, 4 Hg 3.21
Hg 0.5000 0.0000 0.5000  8 Cd 3.09-3.21, 4 Zr 3.10

Calculated values
total DFT energy (no corrections)	-2.693	eV/atom
calculated formation energy	-0.11	eV per atom

***

No. 2
The following is a PBE calculation of a relaxed HoCd5 crystal, from OQMD via LeMat-Bulk.

Cell: 5.7919 5.7919 5.7919 Å, 60.00 60.00 60.00°
Closest atoms and distances in Å follow each position.
Fractional coordinates of all 6 atoms:
Ho 0.0000 0.0000 0.0000  16 Cd 3.40-3.55
Cd 0.3747 0.3747 0.3747  6 Cd 2.89-2.90
Cd 0.3747 0.3747 0.8759  6 Cd 2.89-2.90
Cd 0.3747 0.8759 0.3747  6 Cd 2.89-2.90
Cd 0.7500 0.7500 0.7500  12 Cd 3.40, 4 Ho 3.55
Cd 0.8759 0.3747 0.3747  6 Cd 2.89-2.90

Calculated values
total DFT energy (no corrections)	-1.585	eV/atom
calculated formation energy	-0.08	eV per atom